[1]
BaPCl at its PBEsol-relaxed geometry, computed with meta-GGA SCAN.

## Properties
excess energy over the best structure of this formula in the dataset	143.2	meV per atom
D(E_F)	7.89	states/eV/cell
formation energy without anion corrections	-2.46	eV/f.u.

Structure (CIF):
```
data_BaPCl
_chemical_formula_sum 'Ba4 P4 Cl4'
_symmetry_space_group_name_H-M 'F -4 3 m'
_symmetry_Int_Tables_number 216
_symmetry_space_group_name_Hall 'F -4 2 3'
_cell_length_a 7.161
_cell_length_b 7.161
_cell_length_c 7.161
_cell_angle_alpha 90.00
_cell_angle_beta 90.00
_cell_angle_gamma 90.00
loop_
_atom_site_label
_atom_site_fract_x
_atom_site_fract_y
_atom_site_fract_z
Ba1 0.000 0.000 0.000
P1 0.000 0.000 0.500
Cl1 0.250 0.250 0.750
```

[2]
La2GaCoO6 at its PBEsol-relaxed geometry, computed with meta-GGA SCAN.

## Properties
D(E_F)	0.00	states/eV/cell
formation energy without anion corrections	-28.36	eV/f.u.

Structure (CIF):
```
data_La2GaCoO6
_chemical_formula_sum 'La6 Ga3 Co3 O18'
_symmetry_space_group_name_H-M 'R -3'
_symmetry_Int_Tables_number 148
_symmetry_space_group_name_Hall '-R 3'
_cell_length_a 5.4521
_cell_length_b 5.4521
_cell_length_c 13.0220
_cell_angle_alpha 90.00
_cell_angle_beta 90.00
_cell_angle_gamma 120.00
loop_
_atom_site_label
_atom_site_fract_x
_atom_site_fract_y
_atom_site_fract_z
La1 0.0000 0.0000 0.2490
Ga1 0.0000 0.0000 0.5000
Co1 0.0000 0.0000 0.0000
O1 0.0056 0.4451 0.7492
```

[3]
NdHoZn2 at its PBEsol-relaxed geometry, computed with meta-GGA SCAN.

## Properties
energy of formation	-0.385	eV/atom
D(E_F)	16.88	states/eV/cell

Structure (CIF):
```
data_NdHoZn2
_chemical_formula_sum 'Nd4 Ho4 Zn8'
_symmetry_space_group_name_H-M 'F m -3 m'
_symmetry_Int_Tables_number 225
_symmetry_space_group_name_Hall '-F 4 2 3'
_cell_length_a 7.096
_cell_length_b 7.096
_cell_length_c 7.096
_cell_angle_alpha 90.00
_cell_angle_beta 90.00
_cell_angle_gamma 90.00
loop_
_atom_site_label
_atom_site_fract_x
_atom_site_fract_y
_atom_site_fract_z
Nd1 0.000 0.000 0.000
Ho1 0.000 0.000 0.500
Zn1 0.250 0.250 0.250
```

[4]
CsTaI6 at its PBEsol-relaxed geometry, computed with meta-GGA SCAN.

## Properties
formation energy without anion corrections	-6.18	eV/f.u.

Structure (CIF):
```
data_CsTaI6
_chemical_formula_sum 'Cs4 Ta4 I24'
_symmetry_space_group_name_H-M 'C 1 2/c 1'
_symmetry_Int_Tables_number 15
_symmetry_space_group_name_Hall '-C 2yc'
_cell_length_a 13.327
_cell_length_b 7.029
_cell_length_c 13.656
_cell_angle_alpha 90.00
_cell_angle_beta 101.26
_cell_angle_gamma 90.00
loop_
_atom_site_label
_atom_site_fract_x
_atom_site_fract_y
_atom_site_fract_z
Cs1 0.000 0.081 0.250
Ta1 0.250 0.250 0.000
I1 0.071 0.404 0.895
I2 0.147 0.072 0.535
I3 0.211 0.412 0.172
```